Compound: Mn2AuO
Source: Alexandria via LeMat-Bulk
Functional: PBE with a Hubbard U
Structure: optimized geometry

POSCAR file:
```
Mn2AuO
1.0
1.5629 0.9024 7.0102
-1.5629 0.9024 7.0102
0.0000 -1.8047 7.0102
Mn Au O
2 1 1
Direct
0.2299 0.2299 0.2299 Mn
0.7701 0.7701 0.7701 Mn
0.0000 0.0000 0.0000 Au
0.5000 0.5000 0.5000 O
```

Summary:
Calculated total energy   -6.511 eV per atom

Compound: Mn3Au5O12
Source: Alexandria via LeMat-Bulk
Functional: PBE with a Hubbard U
Structure: optimized geometry

POSCAR file:
```
Mn3Au5O12
1.0
-6.5950 6.5950 6.5950
6.5950 -6.5950 6.5950
6.5950 6.5950 -6.5950
Mn Au O
12 20 48
Direct
0.1250 0.2500 0.3750 Mn
0.1250 0.3750 0.7500 Mn
0.2500 0.3750 0.1250 Mn
0.2500 0.8750 0.6250 Mn
0.3750 0.1250 0.2500 Mn
0.3750 0.7500 0.1250 Mn
0.6250 0.2500 0.8750 Mn
0.6250 0.8750 0.7500 Mn
0.7500 0.1250 0.3750 Mn
0.7500 0.6250 0.8750 Mn
0.8750 0.6250 0.2500 Mn
0.8750 0.7500 0.6250 Mn
0.0000 0.0000 0.0000 Au
0.0000 0.0000 0.5000 Au
0.0000 0.5000 0.0000 Au
0.0000 0.5000 0.5000 Au
0.1250 0.7500 0.8750 Au
0.1250 0.8750 0.2500 Au
0.2500 0.1250 0.8750 Au
0.2500 0.6250 0.3750 Au
0.3750 0.2500 0.6250 Au
0.3750 0.6250 0.7500 Au
0.5000 0.0000 0.0000 Au
0.5000 0.0000 0.5000 Au
0.5000 0.5000 0.0000 Au
0.5000 0.5000 0.5000 Au
0.6250 0.3750 0.2500 Au
0.6250 0.7500 0.3750 Au
0.7500 0.3750 0.6250 Au
0.7500 0.8750 0.1250 Au
0.8750 0.1250 0.7500 Au
0.8750 0.2500 0.1250 Au
0.0113 0.6723 0.6508 O
0.0113 0.8390 0.3605 O
0.0215 0.1723 0.1610 O
0.0215 0.3492 0.8605 O
0.1395 0.6610 0.4887 O
0.1395 0.9785 0.6508 O
0.1508 0.1723 0.5113 O
0.1508 0.4785 0.6395 O
0.1610 0.0215 0.1723 O
0.1610 0.6395 0.9887 O
0.1723 0.1610 0.0215 O
0.1723 0.5113 0.1508 O
0.3277 0.3492 0.9887 O
0.3277 0.4785 0.3390 O
0.3390 0.3277 0.4785 O
0.3390 0.5113 0.8605 O
0.3492 0.8605 0.0215 O
0.3492 0.9887 0.3277 O
0.3605 0.0113 0.8390 O
0.3605 0.8492 0.5215 O
0.4785 0.3390 0.3277 O
0.4785 0.6395 0.1508 O
0.4887 0.1395 0.6610 O
0.4887 0.8492 0.8277 O
0.5113 0.1508 0.1723 O
0.5113 0.8605 0.3390 O
0.5215 0.3605 0.8492 O
0.5215 0.6610 0.6723 O
0.6395 0.1508 0.4785 O
0.6395 0.9887 0.1610 O
0.6508 0.0113 0.6723 O
0.6508 0.1395 0.9785 O
0.6610 0.4887 0.1395 O
0.6610 0.6723 0.5215 O
0.6723 0.5215 0.6610 O
0.6723 0.6508 0.0113 O
0.8277 0.4887 0.8492 O
0.8277 0.8390 0.9785 O
0.8390 0.3605 0.0113 O
0.8390 0.9785 0.8277 O
0.8492 0.5215 0.3605 O
0.8492 0.8277 0.4887 O
0.8605 0.0215 0.3492 O
0.8605 0.3390 0.5113 O
0.9785 0.6508 0.1395 O
0.9785 0.8277 0.8390 O
0.9887 0.1610 0.6395 O
0.9887 0.3277 0.3492 O
```

Summary:
Calculated total energy   -5.165 eV per atom

Compound: MnAu2O
Source: Alexandria via LeMat-Bulk
Functional: PBE with a Hubbard U
Structure: optimized geometry

POSCAR file:
```
MnAu2O
1.0
-4.3902 4.3902 1.9404
4.3902 -4.3902 1.9404
4.3902 4.3902 -1.9404
Mn Au O
2 4 2
Direct
0.0000 0.0000 0.0000 Mn
0.7500 0.2500 0.5000 Mn
0.2314 0.6250 0.1064 Au
0.3750 0.4814 0.6064 Au
0.5186 0.1250 0.8936 Au
0.8750 0.7686 0.3936 Au
0.2500 0.7500 0.5000 O
0.5000 0.5000 0.0000 O
```

Summary:
Calculated total energy   -4.849 eV per atom